(1)
{
  "formula": "DyY6Sc4",
  "functional": "PBE-GGA",
  "state": "relaxed",
  "volume_a3_per_cell": 333.9,
  "m_tot_mub_per_fu": 0.4,
  "e_form_mev_per_atom": 162.2,
  "spacegroup": "P-6m2, No. 187",
  "cell": [[10.572, 0.000, 0.000], [-5.286, 9.155, 0.000], [0.000, 0.000, 3.450]],
  "species": ["Dy", "Y", "Y", "Y", "Y", "Y", "Y", "Sc", "Sc", "Sc", "Sc"],
  "frac_coords": [[0.000, 0.000, 0.000], [0.184, 0.368, 0.500], [0.184, 0.816, 0.500], [0.527, 0.055, 0.000], [0.527, 0.473, 0.000], [0.632, 0.816, 0.500], [0.945, 0.473, 0.000], [0.314, 0.157, 0.500], [0.333, 0.667, 0.000], [0.843, 0.157, 0.500], [0.843, 0.686, 0.500]]
}

(2)
{
  "formula": "Zr3Te",
  "functional": "PBE-GGA",
  "state": "relaxed",
  "volume_a3_per_cell": 91.7,
  "m_tot_mub_per_fu": 0.0,
  "formation_energy_uncorrected_kj_per_mol_atoms": -15,
  "spacegroup": "R-3m, No. 166",
  "cell": [[4.888, 2.822, 1.108], [-4.888, 2.822, 1.108], [0.000, -5.644, 1.108]],
  "species": ["Zr", "Zr", "Zr", "Te"],
  "frac_coords": [[0.000, 0.500, 0.500], [0.500, 0.000, 0.500], [0.500, 0.500, 0.000], [0.000, 0.000, 0.000]]
}

(3)
{
  "formula": "Pm3RhPb",
  "functional": "PBE-GGA",
  "state": "relaxed",
  "volume_a3_per_cell": 161.0,
  "m_tot_mub_per_fu": 0.0,
  "e_form_mev_per_atom": -389.1,
  "spacegroup": "Pm-3m, No. 221",
  "de_polymorph_mev_per_atom": 213.4,
  "cell": [[5.440, 0.000, 0.000], [0.000, 5.440, 0.000], [0.000, 0.000, 5.440]],
  "species": ["Pm", "Pm", "Pm", "Rh", "Pb"],
  "frac_coords": [[0.000, 0.000, 0.500], [0.000, 0.500, 0.000], [0.500, 0.000, 0.000], [0.000, 0.000, 0.000], [0.500, 0.500, 0.500]]
}

(4)
{
  "formula": "Sm12Ni6Pb",
  "functional": "PBE-GGA",
  "state": "relaxed",
  "volume_a3_per_cell": 494.2,
  "m_tot_mub_per_fu": 0.0,
  "e_form_mev_per_atom": -319.1,
  "spacegroup": "Im-3, No. 204",
  "cell": [[-4.981, 4.981, 4.981], [4.981, -4.981, 4.981], [4.981, 4.981, -4.981]],
  "species": ["Sm", "Sm", "Sm", "Sm", "Sm", "Sm", "Sm", "Sm", "Sm", "Sm", "Sm", "Sm", "Ni", "Ni", "Ni", "Ni", "Ni", "Ni", "Pb"],
  "frac_coords": [[0.119, 0.813, 0.307], [0.187, 0.307, 0.494], [0.187, 0.693, 0.881], [0.307, 0.119, 0.813], [0.307, 0.494, 0.187], [0.494, 0.187, 0.307], [0.506, 0.813, 0.693], [0.693, 0.506, 0.813], [0.693, 0.881, 0.187], [0.813, 0.307, 0.119], [0.813, 0.693, 0.506], [0.881, 0.187, 0.693], [0.122, 0.622, 0.500], [0.378, 0.500, 0.878], [0.500, 0.122, 0.622], [0.500, 0.878, 0.378], [0.622, 0.500, 0.122], [0.878, 0.378, 0.500], [0.000, 0.000, 0.000]]
}

(5)
{
  "formula": "CaSi2Rh",
  "functional": "PBE-GGA",
  "state": "relaxed",
  "volume_a3_per_cell": 68.1,
  "m_tot_mub_per_fu": 0.0,
  "formation_energy_uncorrected_kj_per_mol_atoms": -3,
  "spacegroup": "F-43m, No. 216",
  "cell": [[0.000, 3.242, 3.242], [3.242, 0.000, 3.242], [3.242, 3.242, 0.000]],
  "species": ["Ca", "Si", "Si", "Rh"],
  "frac_coords": [[0.000, 0.000, 0.000], [0.500, 0.500, 0.500], [0.750, 0.750, 0.750], [0.250, 0.250, 0.250]]
}

(6)
{
  "formula": "PaAuF6",
  "functional": "PBE-GGA",
  "state": "relaxed",
  "volume_a3_per_cell": 193.2,
  "m_tot_mub_per_fu": 0.1,
  "formation_energy_uncorrected_kj_per_mol_atoms": -280,
  "spacegroup": "R-3m, No. 166",
  "cell": [[3.090, 1.784, 5.842], [-3.090, 1.784, 5.842], [0.000, -3.568, 5.842]],
  "species": ["Pa", "Au", "F", "F", "F", "F", "F", "F"],
  "frac_coords": [[0.000, 0.000, 0.000], [0.500, 0.500, 0.500], [0.231, 0.231, 0.749], [0.231, 0.749, 0.231], [0.251, 0.769, 0.769], [0.749, 0.231, 0.231], [0.769, 0.251, 0.769], [0.769, 0.769, 0.251]]
}

(7)
{
  "formula": "InAg2PbCl8",
  "functional": "PBE-GGA",
  "state": "relaxed",
  "volume_a3_per_cell": 345.2,
  "m_tot_mub_per_fu": 0.0,
  "formation_energy_uncorrected_kj_per_mol_atoms": -76,
  "spacegroup": "P2/m, No. 10",
  "cell": [[6.442, 0.000, 0.000], [0.000, 8.034, 0.000], [-0.734, 0.000, 6.669]],
  "species": ["In", "Ag", "Ag", "Pb", "Cl", "Cl", "Cl", "Cl", "Cl", "Cl", "Cl", "Cl"],
  "frac_coords": [[0.000, 0.000, 0.000], [0.500, 0.247, 0.500], [0.500, 0.753, 0.500], [0.000, 0.500, 0.000], [0.209, 0.220, 0.843], [0.209, 0.780, 0.843], [0.284, 0.000, 0.329], [0.290, 0.500, 0.352], [0.710, 0.500, 0.648], [0.716, 0.000, 0.671], [0.791, 0.220, 0.157], [0.791, 0.780, 0.157]]
}

(8)
{
  "formula": "Pm12Pr7Tm",
  "functional": "PBE-GGA",
  "state": "relaxed",
  "volume_a3_per_cell": 710.5,
  "m_tot_mub_per_fu": 0.0,
  "e_form_mev_per_atom": 216.2,
  "spacegroup": "R-3, No. 148",
  "de_polymorph_mev_per_atom": 0.0,
  "cell": [[6.164, 3.559, 5.399], [-6.164, 3.559, 5.399], [0.000, -7.118, 5.399]],
  "species": ["Pm", "Pm", "Pm", "Pm", "Pm", "Pm", "Pm", "Pm", "Pm", "Pm", "Pm", "Pm", "Pr", "Pr", "Pr", "Pr", "Pr", "Pr", "Pr", "Tm"],
  "frac_coords": [[0.006, 0.364, 0.884], [0.116, 0.994, 0.636], [0.228, 0.752, 0.356], [0.248, 0.644, 0.772], [0.356, 0.228, 0.752], [0.364, 0.884, 0.006], [0.636, 0.116, 0.994], [0.644, 0.772, 0.248], [0.752, 0.356, 0.228], [0.772, 0.248, 0.644], [0.884, 0.006, 0.364], [0.994, 0.636, 0.116], [0.000, 0.000, 0.000], [0.105, 0.349, 0.422], [0.349, 0.422, 0.105], [0.422, 0.105, 0.349], [0.578, 0.895, 0.651], [0.651, 0.578, 0.895], [0.895, 0.651, 0.578], [0.500, 0.500, 0.500]]
}

(9)
{
  "formula": "ZnOs3",
  "functional": "PBE-GGA",
  "state": "relaxed",
  "volume_a3_per_cell": 57.4,
  "m_tot_mub_per_fu": 0.0,
  "e_form_mev_per_atom": 226.8,
  "spacegroup": "P4/mmm, No. 123",
  "cell": [[2.746, 0.000, 0.000], [0.000, 2.746, 0.000], [0.000, 0.000, 7.609]],
  "species": ["Zn", "Os", "Os", "Os"],
  "frac_coords": [[0.000, 0.000, 0.000], [0.000, 0.000, 0.500], [0.500, 0.500, 0.256], [0.500, 0.500, 0.744]]
}

(10)
{
  "formula": "AcTb2Pt",
  "functional": "PBE-GGA",
  "state": "relaxed",
  "volume_a3_per_cell": 119.3,
  "m_tot_mub_per_fu": 0.0,
  "e_form_mev_per_atom": -574.7,
  "spacegroup": "P4/mmm, No. 123",
  "de_polymorph_mev_per_atom": 78.4,
  "cell": [[3.629, 0.000, 0.000], [0.000, 3.629, 0.000], [0.000, 0.000, 9.056]],
  "species": ["Ac", "Tb", "Tb", "Pt"],
  "frac_coords": [[0.000, 0.000, 0.000], [0.500, 0.500, 0.321], [0.500, 0.500, 0.679], [0.000, 0.000, 0.500]]
}

(11)
{
  "formula": "IrS2",
  "functional": "PBE-GGA",
  "state": "relaxed",
  "volume_a3_per_cell": 189.9,
  "m_tot_mub_per_fu": 0.0,
  "formation_energy_uncorrected_kj_per_mol_atoms": -28,
  "spacegroup": "Pa-3, No. 205",
  "cell": [[5.748, 0.000, 0.000], [0.000, 5.748, 0.000], [0.000, 0.000, 5.748]],
  "species": ["Ir", "Ir", "Ir", "Ir", "S", "S", "S", "S", "S", "S", "S", "S"],
  "frac_coords": [[0.000, 0.000, 0.000], [0.000, 0.500, 0.500], [0.500, 0.000, 0.500], [0.500, 0.500, 0.000], [0.132, 0.632, 0.868], [0.132, 0.868, 0.368], [0.368, 0.132, 0.868], [0.368, 0.368, 0.368], [0.632, 0.632, 0.632], [0.632, 0.868, 0.132], [0.868, 0.132, 0.632], [0.868, 0.368, 0.132]]
}

(12)
{
  "formula": "In5Ga3Pb3",
  "functional": "PBE-GGA",
  "state": "relaxed",
  "volume_a3_per_cell": 308.5,
  "m_tot_mub_per_fu": 0.0,
  "e_form_mev_per_atom": 108.9,
  "spacegroup": "P-62m, No. 189",
  "cell": [[10.567, 0.000, 0.000], [-5.284, 9.151, 0.000], [0.000, 0.000, 3.190]],
  "species": ["In", "In", "In", "In", "In", "Ga", "Ga", "Ga", "Pb", "Pb", "Pb"],
  "frac_coords": [[0.000, 0.320, 0.000], [0.320, 0.000, 0.000], [0.333, 0.667, 0.000], [0.667, 0.333, 0.000], [0.680, 0.680, 0.000], [0.000, 0.853, 0.000], [0.147, 0.147, 0.000], [0.853, 0.000, 0.000], [0.000, 0.600, 0.500], [0.400, 0.400, 0.500], [0.600, 0.000, 0.500]]
}

(13)
{
  "formula": "TbPrPt",
  "functional": "PBE-GGA",
  "state": "relaxed",
  "volume_a3_per_cell": 352.3,
  "m_tot_mub_per_fu": 0.0,
  "e_form_mev_per_atom": -797.8,
  "spacegroup": "P2_1/c, No. 14",
  "de_polymorph_mev_per_atom": 20.1,
  "cell": [[6.760, 0.000, 0.000], [0.000, 7.307, 0.000], [-0.792, 0.000, 7.133]],
  "species": ["Tb", "Tb", "Tb", "Tb", "Pr", "Pr", "Pr", "Pr", "Pt", "Pt", "Pt", "Pt"],
  "frac_coords": [[0.092, 0.118, 0.290], [0.092, 0.382, 0.790], [0.908, 0.618, 0.210], [0.908, 0.882, 0.710], [0.424, 0.738, 0.497], [0.424, 0.762, 0.997], [0.576, 0.238, 0.003], [0.576, 0.262, 0.503], [0.281, 0.054, 0.694], [0.281, 0.446, 0.194], [0.719, 0.554, 0.806], [0.719, 0.946, 0.306]]
}

(14)
{
  "formula": "CoHgMo2",
  "functional": "PBE-GGA",
  "state": "relaxed",
  "volume_a3_per_cell": 64.1,
  "m_tot_mub_per_fu": 1.7,
  "e_form_mev_per_atom": 510.7,
  "spacegroup": "Imm2, No. 44",
  "cell": [[-1.638, 2.282, 4.285], [1.638, -2.282, 4.285], [1.638, 2.282, -4.285]],
  "species": ["Co", "Hg", "Mo", "Mo"],
  "frac_coords": [[0.000, 0.000, 0.000], [0.746, 0.246, 0.500], [0.235, 0.735, 0.500], [0.465, 0.465, 0.000]]
}

(15)
{
  "formula": "PuCo5Si3",
  "functional": "PBE-GGA",
  "state": "relaxed",
  "volume_a3_per_cell": 242.8,
  "m_tot_mub_per_fu": 3.4,
  "formation_energy_uncorrected_kj_per_mol_atoms": -44,
  "spacegroup": "Cmcm, No. 63",
  "cell": [[1.849, -5.870, 0.000], [1.849, 5.870, 0.000], [0.000, 0.000, 11.184]],
  "species": ["Pu", "Pu", "Co", "Co", "Co", "Co", "Co", "Co", "Co", "Co", "Co", "Co", "Si", "Si", "Si", "Si", "Si", "Si"],
  "frac_coords": [[0.171, 0.829, 0.750], [0.829, 0.171, 0.250], [0.000, 0.000, 0.000], [0.000, 0.000, 0.500], [0.193, 0.807, 0.064], [0.193, 0.807, 0.436], [0.450, 0.550, 0.644], [0.450, 0.550, 0.856], [0.550, 0.450, 0.144], [0.550, 0.450, 0.356], [0.807, 0.193, 0.564], [0.807, 0.193, 0.936], [0.107, 0.893, 0.250], [0.380, 0.620, 0.044], [0.380, 0.620, 0.456], [0.620, 0.380, 0.544], [0.620, 0.380, 0.956], [0.893, 0.107, 0.750]]
}

(16)
{
  "formula": "TbPr3Tm2Bi6",
  "functional": "PBE-GGA",
  "state": "relaxed",
  "volume_a3_per_cell": 399.1,
  "m_tot_mub_per_fu": 0.0,
  "e_form_mev_per_atom": -882.5,
  "spacegroup": "C2/m, No. 12",
  "cell": [[9.904, -2.276, 0.000], [9.904, 2.276, 0.000], [-2.054, 0.000, 8.854]],
  "species": ["Tb", "Pr", "Pr", "Pr", "Tm", "Tm", "Bi", "Bi", "Bi", "Bi", "Bi", "Bi"],
  "frac_coords": [[0.000, 0.000, 0.000], [0.000, 0.000, 0.500], [0.334, 0.334, 0.167], [0.666, 0.666, 0.833], [0.333, 0.333, 0.667], [0.667, 0.667, 0.333], [0.165, 0.165, 0.092], [0.170, 0.170, 0.575], [0.497, 0.497, 0.755], [0.503, 0.503, 0.245], [0.830, 0.830, 0.425], [0.835, 0.835, 0.908]]
}

(17)
{
  "formula": "Ce4Pu3ThS8",
  "functional": "PBE-GGA",
  "state": "relaxed",
  "volume_a3_per_cell": 360.9,
  "m_tot_mub_per_fu": 14.5,
  "formation_energy_uncorrected_kj_per_mol_atoms": -186,
  "spacegroup": "R-3m, No. 166",
  "cell": [[3.985, 2.301, 6.560], [-3.985, 2.301, 6.560], [0.000, -4.601, 6.560]],
  "species": ["Ce", "Ce", "Ce", "Ce", "Pu", "Pu", "Pu", "Th", "S", "S", "S", "S", "S", "S", "S", "S"],
  "frac_coords": [[0.000, 0.000, 0.000], [0.000, 0.500, 0.500], [0.500, 0.000, 0.500], [0.500, 0.500, 0.000], [0.000, 0.000, 0.500], [0.000, 0.500, 0.000], [0.500, 0.000, 0.000], [0.500, 0.500, 0.500], [0.244, 0.751, 0.751], [0.247, 0.247, 0.247], [0.249, 0.249, 0.756], [0.249, 0.756, 0.249], [0.751, 0.244, 0.751], [0.751, 0.751, 0.244], [0.753, 0.753, 0.753], [0.756, 0.249, 0.249]]
}

(18)
{
  "formula": "Re2IrN",
  "functional": "PBE-GGA",
  "state": "relaxed",
  "volume_a3_per_cell": 128.4,
  "m_tot_mub_per_fu": 0.0,
  "formation_energy_uncorrected_kj_per_mol_atoms": 58,
  "spacegroup": "I-42d, No. 122",
  "cell": [[-2.429, 2.429, 5.440], [2.429, -2.429, 5.440], [2.429, 2.429, -5.440]],
  "species": ["Re", "Re", "Re", "Re", "Ir", "Ir", "N", "N"],
  "frac_coords": [[0.035, 0.625, 0.910], [0.375, 0.285, 0.410], [0.715, 0.125, 0.090], [0.875, 0.965, 0.590], [0.250, 0.750, 0.500], [0.500, 0.500, 0.000], [0.000, 0.000, 0.000], [0.750, 0.250, 0.500]]
}

(19)
{
  "formula": "HoScSb",
  "functional": "PBE-GGA",
  "state": "relaxed",
  "volume_a3_per_cell": 153.1,
  "m_tot_mub_per_fu": 0.3,
  "formation_energy_uncorrected_kj_per_mol_atoms": -82,
  "spacegroup": "P4/nmm, No. 129",
  "cell": [[4.333, 0.000, 0.000], [0.000, 4.333, 0.000], [0.000, 0.000, 8.157]],
  "species": ["Ho", "Ho", "Sc", "Sc", "Sb", "Sb"],
  "frac_coords": [[0.250, 0.250, 0.152], [0.750, 0.750, 0.848], [0.250, 0.750, 0.500], [0.750, 0.250, 0.500], [0.250, 0.250, 0.767], [0.750, 0.750, 0.233]]
}

(20)
{
  "formula": "Rb5CdHg2",
  "functional": "PBE-GGA",
  "state": "relaxed",
  "volume_a3_per_cell": 853.0,
  "m_tot_mub_per_fu": 0.0,
  "e_form_mev_per_atom": -129.7,
  "spacegroup": "I4/mcm, No. 140",
  "cell": [[-4.826, 4.826, 9.157], [4.826, -4.826, 9.157], [4.826, 4.826, -9.157]],
  "species": ["Rb", "Rb", "Rb", "Rb", "Rb", "Rb", "Rb", "Rb", "Rb", "Rb", "Cd", "Cd", "Hg", "Hg", "Hg", "Hg"],
  "frac_coords": [[0.000, 0.000, 0.000], [0.030, 0.530, 0.847], [0.183, 0.030, 0.500], [0.317, 0.817, 0.847], [0.470, 0.317, 0.500], [0.500, 0.500, 0.000], [0.530, 0.683, 0.500], [0.683, 0.183, 0.153], [0.817, 0.970, 0.500], [0.970, 0.470, 0.153], [0.250, 0.250, 0.000], [0.750, 0.750, 0.000], [0.112, 0.388, 0.500], [0.388, 0.888, 0.276], [0.612, 0.112, 0.724], [0.888, 0.612, 0.500]]
}

(21)
{
  "formula": "SnOs",
  "functional": "PBE-GGA",
  "state": "relaxed",
  "volume_a3_per_cell": 356.3,
  "m_tot_mub_per_fu": 0.0,
  "e_form_mev_per_atom": 693.1,
  "spacegroup": "P6_3/m, No. 176",
  "cell": [[9.964, 0.000, 0.000], [-4.982, 8.629, 0.000], [0.000, 0.000, 4.143]],
  "species": ["Sn", "Sn", "Sn", "Sn", "Sn", "Sn", "Os", "Os", "Os", "Os", "Os", "Os"],
  "frac_coords": [[0.162, 0.395, 0.250], [0.233, 0.838, 0.250], [0.395, 0.233, 0.750], [0.605, 0.767, 0.250], [0.767, 0.162, 0.750], [0.838, 0.605, 0.750], [0.001, 0.560, 0.250], [0.440, 0.441, 0.250], [0.441, 0.001, 0.750], [0.559, 0.999, 0.250], [0.560, 0.559, 0.750], [0.999, 0.440, 0.750]]
}

(22)
{
  "formula": "RbO2",
  "functional": "PBE-GGA",
  "state": "relaxed",
  "volume_a3_per_cell": 61.8,
  "m_tot_mub_per_fu": 1.0,
  "formation_energy_uncorrected_kj_per_mol_atoms": -82,
  "spacegroup": "I4/mmm, No. 139",
  "de_polymorph_mev_per_atom": 0.0,
  "cell": [[-2.093, 2.093, 3.523], [2.093, -2.093, 3.523], [2.093, 2.093, -3.523]],
  "species": ["Rb", "O", "O"],
  "frac_coords": [[0.000, 0.000, 0.000], [0.404, 0.404, 0.000], [0.596, 0.596, 0.000]]
}